A plane-wave DFT calculation with PBE was carried out for a geometry-optimized Cs12P3F5 structure.

Cell: 16.4293 16.4293 16.4293 Å, 109.47 109.47 109.47°
With the nearest neighbours (Å) after each atom.
Fractional positions:
P 0.7500 0.3750 0.1250  8 Cs 3.59-3.73
P 0.8750 0.7500 0.1250  8 Cs 3.59-3.73
P 0.3750 0.7500 0.6250  8 Cs 3.59-3.73
P 0.2500 0.1250 0.3750  8 Cs 3.59-3.73
P 0.8750 0.1250 0.2500  8 Cs 3.59-3.73
P 0.3750 0.6250 0.2500  8 Cs 3.59-3.73
P 0.6250 0.3750 0.7500  8 Cs 3.59-3.73
P 0.1250 0.8750 0.7500  8 Cs 3.59-3.73
P 0.7500 0.8750 0.6250  8 Cs 3.59-3.73
P 0.6250 0.2500 0.3750  8 Cs 3.59-3.73
P 0.1250 0.2500 0.8750  8 Cs 3.59-3.73
P 0.2500 0.6250 0.8750  8 Cs 3.59-3.73
F 0.1250 0.3750 0.2500  4 Cs 2.86
F 0.0000 0.5000 0.0000  6 Cs 3.11
F 0.0000 0.0000 0.0000  6 Cs 3.11
F 0.3750 0.2500 0.1250  4 Cs 2.86
F 0.5000 0.0000 0.5000  6 Cs 3.11
F 0.5000 0.5000 0.0000  6 Cs 3.11
F 0.1250 0.7500 0.3750  4 Cs 2.86
F 0.7500 0.1250 0.8750  4 Cs 2.86
F 0.7500 0.6250 0.3750  4 Cs 2.86
F 0.3750 0.1250 0.7500  4 Cs 2.86
F 0.6250 0.8750 0.2500  4 Cs 2.86
F 0.5000 0.5000 0.5000  6 Cs 3.11
F 0.5000 0.0000 0.0000  6 Cs 3.11
F 0.0000 0.0000 0.5000  6 Cs 3.11
F 0.2500 0.3750 0.6250  4 Cs 2.86
F 0.2500 0.8750 0.1250  4 Cs 2.86
F 0.0000 0.5000 0.5000  6 Cs 3.11
F 0.8750 0.2500 0.6250  4 Cs 2.86
F 0.6250 0.7500 0.8750  4 Cs 2.86
F 0.8750 0.6250 0.7500  4 Cs 2.86
Cs 0.7081 0.1251 0.0307  2 F 2.86-3.11
Cs 0.3226 0.5307 0.4056  2 F 2.86-3.11
Cs 0.9693 0.3749 0.2919  2 F 2.86-3.11
Cs 0.5307 0.2081 0.1251  2 F 2.86-3.11
Cs 0.5830 0.7081 0.6774  2 F 2.86-3.11
Cs 0.9693 0.5944 0.1774  2 F 2.86-3.11
Cs 0.3226 0.7919 0.4170  2 F 2.86-3.11
Cs 0.0944 0.9170 0.1251  2 F 2.86-3.11
Cs 0.5944 0.9693 0.6774  2 F 2.86-3.11
Cs 0.7081 0.5830 0.1774  2 F 2.86-3.11
Cs 0.7919 0.4693 0.3749  2 F 2.86-3.11
Cs 0.8226 0.9056 0.0307  2 F 2.86-3.11
Cs 0.1251 0.7081 0.5307  2 F 2.86-3.11
Cs 0.3749 0.4056 0.0830  2 F 2.86-3.11
Cs 0.0830 0.9056 0.3749  2 F 2.86-3.11
Cs 0.4170 0.1251 0.5944  2 F 2.86-3.11
Cs 0.0830 0.1774 0.2081  2 F 2.86-3.11
Cs 0.4693 0.6774 0.0944  2 F 2.86-3.11
Cs 0.8226 0.9170 0.2919  2 F 2.86-3.11
Cs 0.1251 0.4170 0.0944  2 F 2.86-3.11
Cs 0.3749 0.9693 0.7919  2 F 2.86-3.11
Cs 0.5944 0.6251 0.4170  2 F 2.86-3.11
Cs 0.9056 0.8226 0.5307  2 F 2.86-3.11
Cs 0.7919 0.3226 0.9170  2 F 2.86-3.11
Cs 0.4056 0.3749 0.5830  2 F 2.86-3.11
Cs 0.0944 0.1774 0.4693  2 F 2.86-3.11
Cs 0.2081 0.6774 0.0830  2 F 2.86-3.11
Cs 0.1774 0.0830 0.7081  2 F 2.86-3.11
Cs 0.6251 0.0307 0.2081  2 F 2.86-3.11
Cs 0.8749 0.5830 0.9056  2 F 2.86-3.11
Cs 0.5307 0.3226 0.9056  2 F 2.86-3.11
Cs 0.5830 0.8749 0.4056  2 F 2.86-3.11
Cs 0.9170 0.8226 0.7919  2 F 2.86-3.11
Cs 0.9170 0.0944 0.6251  2 F 2.86-3.11
Cs 0.8749 0.2919 0.4693  2 F 2.86-3.11
Cs 0.1774 0.0944 0.9693  2 F 2.86-3.11
Cs 0.6251 0.5944 0.9170  2 F 2.86-3.11
Cs 0.4056 0.0307 0.3226  2 F 2.86-3.11
Cs 0.2919 0.4170 0.8226  2 F 2.86-3.11
Cs 0.2081 0.5307 0.6251  2 F 2.86-3.11
Cs 0.9056 0.0830 0.8749  2 F 2.86-3.11
Cs 0.6774 0.2081 0.5830  2 F 2.86-3.11
Cs 0.4693 0.7919 0.8749  2 F 2.86-3.11
Cs 0.0307 0.4056 0.8226  2 F 2.86-3.11
Cs 0.4170 0.2919 0.3226  2 F 2.86-3.11
Cs 0.0307 0.6251 0.7081  2 F 2.86-3.11
Cs 0.6774 0.4693 0.5944  2 F 2.86-3.11
Cs 0.2919 0.8749 0.9693  2 F 2.86-3.11

Properties
The calculation puts the total magnetization at 2.09 μB/f.u. For the energy relative to the elements, uncorrected, the calculation gives -1.348 eV per atom. The total energy comes out at -3.140 eV per atom. Its space-group type is Ia-3d.

A plane-wave DFT calculation with PBE was carried out for a geometry-optimized CsPPb2F structure.

Cell: 5.1838 5.5426 5.1838 Å, 90.00 90.00 90.00°
With the nearest neighbours (Å) after each atom.
Fractional positions:
Pb 0.0000 0.0000 0.5000  2 F 2.59
Pb 0.5000 0.0000 0.0000  2 F 2.59
Cs 0.0000 0.5000 0.0000  2 F 2.77
F 0.0000 0.0000 0.0000  4 Pb 2.59, 2 Cs 2.77
P 0.5000 0.5000 0.5000  4 Cs 3.67, 8 Pb 3.79

Properties
The calculation puts the total magnetization at 0.00 μB/f.u. For the energy relative to the elements, uncorrected, the calculation gives -0.333 eV per atom. The total energy comes out at -3.443 eV per atom. Its space-group type is P4/mmm.

A plane-wave DFT calculation with PBE was carried out for a geometry-optimized Cs2RbPF6 structure.

Cell: 6.6737 6.6737 6.6737 Å, 60.00 60.00 90.00°
With the nearest neighbours (Å) after each atom.
Fractional positions:
Cs 0.7500 0.2500 0.5000  12 F 3.36
Cs 0.2500 0.7500 0.5000  12 F 3.36
P 0.5000 0.5000 0.0000  6 F 2.00
Rb 0.0000 0.0000 0.0000  6 F 2.72
F 0.2878 0.2878 0.4244  1 P 2.00
F 0.7122 0.7122 0.5756  1 P 2.00
F 0.2878 0.2878 0.0000  1 P 2.00
F 0.7122 0.7122 0.0000  1 P 2.00
F 0.7122 0.2878 0.0000  1 P 2.00
F 0.2878 0.7122 0.0000  1 P 2.00

Properties
The calculation puts the total magnetization at 0.00 μB/f.u. For the energy relative to the elements, uncorrected, the calculation gives -2.452 eV per atom. The total energy comes out at -4.384 eV per atom. Its space-group type is Fm-3m.